Density functional theory data (PBE with a Hubbard U) for an optimized crystal structure of KSm2MnO5.

Properties
Magnetization (μB/f.u.): 4.0
Raw total energy (eV for the cell shown): -131.64

Unit cell a=6.6936 b=6.6936 c=5.8161 alpha=90.00 beta=90.00 gamma=90.00
Closest atoms and distances in Å follow each position.
Positions (direct):
K  0.0000  0.0000  0.0000  10 O 2.91-2.97
K  0.5000  0.5000  0.0000  10 O 2.91-2.97
Sm  0.1786  0.3214  0.5000  8 O 2.31-2.59
Sm  0.3214  0.8214  0.5000  8 O 2.31-2.59
Sm  0.6786  0.1786  0.5000  8 O 2.31-2.59
Sm  0.8214  0.6786  0.5000  8 O 2.31-2.59
Mn  0.0000  0.5000  0.0000  4 O 1.90
Mn  0.5000  0.0000  0.0000  4 O 1.90
O  0.0000  0.0000  0.5000  4 Sm 2.46
O  0.1344  0.6344  0.2436  1 Mn 1.90
O  0.1344  0.6344  0.7564  1 Mn 1.90
O  0.3656  0.1344  0.2436  1 Mn 1.90
O  0.3656  0.1344  0.7564  1 Mn 1.90
O  0.5000  0.5000  0.5000  4 Sm 2.46
O  0.6344  0.8656  0.2436  1 Mn 1.90
O  0.6344  0.8656  0.7564  1 Mn 1.90
O  0.8656  0.3656  0.2436  1 Mn 1.90
O  0.8656  0.3656  0.7564  1 Mn 1.90